A PBEsol-optimized structure of MoAu, computed with SCAN.

a = 6.375 Å, b = 6.375 Å, c = 6.375 Å
α = 90.00°, β = 90.00°, γ = 90.00°
Space group Fd-3m (No. 227, origin choice 2)
Inequivalent atoms, fractional coordinates:
Mo: 0.125 0.125 0.125 x8
Au: 0.125 0.125 0.625 x8

Computed properties:
Magnetic moment (μB per formula unit): 0.0
Energy of formation from the pure elements (eV/atom): 0.405
DOS at the Fermi energy (states/eV/atom): 0.6853